P.
Below is Tl4In5 after structural relaxation, with properties calculated at the PBE-GGA level.

Summary:
The symmetry is No. 139.

a b c (Å): 3.7390 8.5763 8.5763
angles (deg): 87.28 77.41 77.41
Fractional positions:
Tl (0.0000, 0.6715, 0.3285)
Tl (0.0000, 0.3285, 0.6715)
Tl (0.3285, 0.6715, 0.6715)
Tl (0.6715, 0.3285, 0.3285)
In (0.0000, 0.0000, 0.0000)
In (0.3338, 0.3323, 0.0000)
In (0.6662, 0.0000, 0.6677)
In (0.6662, 0.6677, 0.0000)
In (0.3338, 0.0000, 0.3323)

Q.
Below is Tl4In5 after structural relaxation, with properties calculated at the PBE-GGA level.

Summary:
The symmetry is No. 139.

a b c (Å): 5.3059 7.4732 7.4732
angles (deg): 82.76 69.21 69.21
Fractional positions:
In (0.3375, 0.0000, 0.3250)
In (0.3375, 0.3250, 0.0000)
In (0.6625, 0.0000, 0.6750)
In (0.6625, 0.6750, 0.0000)
In (0.0000, 0.0000, 0.0000)
Tl (0.0000, 0.3271, 0.6729)
Tl (0.6729, 0.3271, 0.3271)
Tl (0.0000, 0.6729, 0.3271)
Tl (0.3271, 0.6729, 0.6729)

The energetic minimum among the shown structures is Q; the next structure lies 0.5 kJ/mol of atoms above.